# MgTa2MnS (GGA-PBEsol, relaxed)
# Density = 8.7 Mg/m³
# E_form (uncorrected) = 0.719 eV per atom
# Crystal system = tetragonal
# Magnetization = 0.00 μB per cell
data_MgTa2MnS
_cell_length_a 4.716
_cell_length_b 4.716
_cell_length_c 4.054
_cell_angle_alpha 90.00
_cell_angle_beta 90.00
_cell_angle_gamma 90.00
_space_group_name_H-M_alt 'P 4/m m m'
_space_group_IT_number 123
_space_group_name_Hall '-P 4 2'
loop_
_atom_site_label
_atom_site_type_symbol
_atom_site_fract_x
_atom_site_fract_y
_atom_site_fract_z
Mg1 Mg 0.000 0.000 0.000
Ta1 Ta 0.000 0.500 0.500
Mn1 Mn 0.500 0.500 0.500
S1 S 0.500 0.500 0.000